Entry 1:
Computed, not measured: La2Sm2C2Cl5 after structural relaxation at the PBE level of DFT.

Calculated values
- magnetic moment (μB per formula unit) = 0.01
- symmetry = C2/m, No. 12
- E_tot (eV for the cell shown) = -65.058

abc: 9.9031 9.9031 7.8523
angles: 113.15 113.15 23.08
Sites, in units of the cell vectors:
La (0.0000, 0.0000, 0.7852)
C (0.4603, 0.4603, 0.9604)
Cl (0.1689, 0.1689, 0.4248)
La (0.0000, 0.0000, 0.2148)
C (0.5397, 0.5397, 0.0396)
Cl (0.1691, 0.1691, 0.9110)
Cl (0.8309, 0.8309, 0.0890)
Sm (0.6646, 0.6646, 0.1637)
Cl (0.8311, 0.8311, 0.5752)
Cl (0.5000, 0.5000, 0.5000)
Sm (0.3354, 0.3354, 0.8363)

=====

Entry 2:
Computed, not measured: LuScCCl2 after structural relaxation at the PBE level of DFT.

Calculated values
- magnetic moment (μB per formula unit) = 0.00
- symmetry = P3m1, No. 156
- E_tot (eV for the cell shown) = -31.528

abc: 3.5342 3.5342 9.3271
angles: 90.00 90.00 120.00
Sites, in units of the cell vectors:
Cl (0.3333, 0.6667, 0.1772)
C (0.0000, 0.0000, 0.5052)
Cl (0.6667, 0.3333, 0.8142)
Sc (0.3333, 0.6667, 0.6379)
Lu (0.6667, 0.3333, 0.3655)

=====

Entry 3:
Computed, not measured: NbC2NCl8 after structural relaxation at the PBE level of DFT.

Calculated values
- magnetic moment (μB per formula unit) = 0.01
- symmetry = Cmc2_1, No. 36
- E_tot (eV for the cell shown) = -116.540

abc: 6.1990 6.1990 16.8074
angles: 90.00 90.00 97.75
Sites, in units of the cell vectors:
C (0.8452, 0.1548, 0.2171)
C (0.0667, 0.9333, 0.6449)
Cl (0.9319, 0.7103, 0.5898)
Cl (0.7103, 0.9319, 0.0898)
Cl (0.7959, 0.2041, 0.4576)
Cl (0.2897, 0.0681, 0.5898)
Cl (0.6676, 0.9025, 0.8612)
Cl (0.4440, 0.5560, 0.2608)
Cl (0.2041, 0.7959, 0.9576)
Nb (0.4050, 0.5950, 0.8735)
Cl (0.0681, 0.2897, 0.0898)
Nb (0.5950, 0.4050, 0.3735)
Cl (0.4224, 0.5776, 0.4699)
Cl (0.5776, 0.4224, 0.9699)
C (0.1548, 0.8452, 0.7171)
Cl (0.3324, 0.0975, 0.3612)
Cl (0.5560, 0.4440, 0.7608)
Cl (0.1160, 0.8840, 0.1728)
Cl (0.0975, 0.3324, 0.8612)
Cl (0.8840, 0.1160, 0.6728)
N (0.7703, 0.2297, 0.2723)
C (0.9333, 0.0667, 0.1449)
Cl (0.9025, 0.6676, 0.3612)
N (0.2297, 0.7703, 0.7723)

=====

Entry 4:
Computed, not measured: SrNdCN2Cl2 after structural relaxation at the PBE level of DFT.

Calculated values
- magnetic moment (μB per formula unit) = 0.99
- symmetry = Cm, No. 8
- E_tot (eV for the cell shown) = -45.581

abc: 5.2781 5.2781 7.3382
angles: 99.71 99.71 44.26
Last column: magnetic moment on the atom in μB.
Sites, in units of the cell vectors:
Nd (0.3182, 0.3182, 0.7382)  0.42
Sr (0.6810, 0.6810, 0.2637)  0.01
Cl (0.6233, 0.6233, 0.8428)  0.00
N (0.8861, 0.8861, 0.5483)  -0.01
Cl (0.3705, 0.3705, 0.1452)  0.01
N (0.1189, 0.1189, 0.4594)  0.00
C (0.0020, 0.0020, 0.5023)  0.04

=====

Entry 5:
Computed, not measured: Pr4CNCl2 after structural relaxation at the PBE level of DFT.

Calculated values
- magnetic moment (μB per formula unit) = 0.01
- symmetry = P-3m1, No. 164
- E_tot (eV for the cell shown) = -50.472

abc: 3.7546 3.7546 14.3936
angles: 90.00 90.00 120.00
Sites, in units of the cell vectors:
N (0.0000, 0.0000, 0.5000)
Pr (0.3333, 0.6667, 0.9030)
C (0.0000, 0.0000, 0.0000)
Pr (0.6667, 0.3333, 0.4078)
Pr (0.6667, 0.3333, 0.0970)
Cl (0.6667, 0.3333, 0.7422)
Cl (0.3333, 0.6667, 0.2578)
Pr (0.3333, 0.6667, 0.5922)

=====

Entry 6:
Computed, not measured: SrSmCN2Cl2 after structural relaxation at the PBE level of DFT.

Calculated values
- magnetic moment (μB per formula unit) = 0.99
- symmetry = Cm, No. 8
- E_tot (eV for the cell shown) = -45.475

abc: 5.2450 5.2450 7.2992
angles: 99.72 99.72 44.28
Last column: magnetic moment on the atom in μB.
Sites, in units of the cell vectors:
Sr (0.6818, 0.6818, 0.2628)  0.02
Sm (0.3168, 0.3168, 0.7365)  0.43
C (0.0018, 0.0018, 0.5057)  0.04
Cl (0.3705, 0.3705, 0.1410)  0.01
N (0.8856, 0.8856, 0.5534)  -0.01
Cl (0.6243, 0.6243, 0.8385)  0.00
N (0.1193, 0.1193, 0.4620)  0.00

=====

Entry 7:
Computed, not measured: NaW6CCl18 after structural relaxation at the PBE level of DFT.

Calculated values
- magnetic moment (μB per formula unit) = 1.00
- symmetry = P6_3/m, No. 176
- E_tot (eV for the cell shown) = -288.911

abc: 9.2707 9.2707 18.0370
angles: 90.00 90.00 120.00
Last column: magnetic moment on the atom in μB.
Sites, in units of the cell vectors:
W (0.3038, 0.4863, 0.1664)  0.11
C (0.6667, 0.3333, 0.7500)  0.01
Cl (0.7363, 0.7650, 0.6026)  0.00
Cl (0.4310, 0.9501, 0.7500)  0.01
W (0.4863, 0.1824, 0.8336)  0.12
Cl (0.5690, 0.0499, 0.2500)  0.01
C (0.3333, 0.6667, 0.2500)  0.01
Cl (0.2350, 0.9713, 0.6026)  0.00
Cl (0.7650, 0.0287, 0.3974)  0.00
Cl (0.0875, 0.2858, 0.2500)  0.01
W (0.6962, 0.5137, 0.6664)  0.11
W (0.4863, 0.1824, 0.6664)  0.12
Cl (0.4804, 0.3692, 0.5760)  0.01
Cl (0.1982, 0.9125, 0.2500)  0.01
Cl (0.9501, 0.5191, 0.2500)  0.01
Cl (0.6308, 0.1112, 0.9240)  0.01
Cl (0.6308, 0.1112, 0.5760)  0.01
Cl (0.7363, 0.7650, 0.8974)  0.00
Cl (0.7650, 0.0287, 0.1026)  0.00
Cl (0.0287, 0.2637, 0.6026)  0.00
Na (0.0000, 0.0000, 0.0000)  0.00
Cl (0.1112, 0.4805, 0.4240)  0.01
Cl (0.2637, 0.2350, 0.3974)  0.00
W (0.5137, 0.8176, 0.1664)  0.12
Cl (0.0287, 0.2637, 0.8974)  0.00
W (0.8176, 0.3038, 0.6664)  0.11
Cl (0.2858, 0.1982, 0.7500)  0.01
Cl (0.1112, 0.4805, 0.0760)  0.01
W (0.1824, 0.6962, 0.1664)  0.11
Cl (0.3692, 0.8888, 0.0760)  0.01
Cl (0.2350, 0.9713, 0.8974)  0.00
Cl (0.5191, 0.5690, 0.7500)  0.01
Cl (0.8888, 0.5195, 0.5760)  0.01
Cl (0.8888, 0.5195, 0.9240)  0.01
W (0.6962, 0.5137, 0.8336)  0.11
Cl (0.4809, 0.4310, 0.2500)  0.01
Cl (0.0499, 0.4809, 0.7500)  0.01
W (0.5137, 0.8176, 0.3336)  0.12
Cl (0.5195, 0.6308, 0.0760)  0.01
Cl (0.4804, 0.3692, 0.9240)  0.01
Cl (0.9713, 0.7363, 0.3974)  0.00
Cl (0.5195, 0.6308, 0.4240)  0.01
Cl (0.9125, 0.7142, 0.7500)  0.01
W (0.1824, 0.6962, 0.3336)  0.11
W (0.3038, 0.4863, 0.3336)  0.11
Cl (0.9713, 0.7363, 0.1026)  0.00
Cl (0.7142, 0.8018, 0.2500)  0.01
Cl (0.2637, 0.2350, 0.1026)  0.00
Cl (0.3692, 0.8888, 0.4240)  0.01
Cl (0.8018, 0.0875, 0.7500)  0.01
W (0.8176, 0.3038, 0.8336)  0.11
Na (0.0000, 0.0000, 0.5000)  0.00

=====

Entry 8:
Computed, not measured: ScNbCCl2 after structural relaxation at the PBE level of DFT.

Calculated values
- magnetic moment (μB per formula unit) = 0.00
- symmetry = P3m1, No. 156
- E_tot (eV for the cell shown) = -35.630

abc: 3.3514 3.3514 9.3769
angles: 90.00 90.00 120.00
Sites, in units of the cell vectors:
Cl (0.3333, 0.6667, 0.1890)
C (0.0000, 0.0000, 0.5066)
Nb (0.3333, 0.6667, 0.6215)
Sc (0.6667, 0.3333, 0.3713)
Cl (0.6667, 0.3333, 0.8115)

=====

Entry 9:
Computed, not measured: Nb2CSeCl after structural relaxation at the PBE level of DFT.

Calculated values
- magnetic moment (μB per formula unit) = 0.00
- symmetry = P3m1, No. 156
- E_tot (eV for the cell shown) = -39.032

abc: 3.3415 3.3415 9.6532
angles: 90.00 90.00 120.00
Sites, in units of the cell vectors:
C (0.0000, 0.0000, 0.0041)
Cl (0.3333, 0.6667, 0.3029)
Nb (0.3333, 0.6667, 0.8807)
Nb (0.6667, 0.3333, 0.1162)
Se (0.6667, 0.3333, 0.6960)

=====

Entry 10:
Computed, not measured: Nb2TeCCl after structural relaxation at the PBE level of DFT.

Calculated values
- magnetic moment (μB per formula unit) = 0.00
- symmetry = P3m1, No. 156
- E_tot (eV for the cell shown) = -37.961

abc: 3.3790 3.3790 9.8733
angles: 90.00 90.00 120.00
Sites, in units of the cell vectors:
C (0.0000, 0.0000, 0.9924)
Nb (0.6667, 0.3333, 0.1034)
Nb (0.3333, 0.6667, 0.8832)
Te (0.3333, 0.6667, 0.3188)
Cl (0.6667, 0.3333, 0.7022)

=====

Entry 11:
Computed, not measured: Pr2Nd2CCl5 after structural relaxation at the PBE level of DFT.

Calculated values
- magnetic moment (μB per formula unit) = 0.24
- symmetry = C2/m, No. 12
- E_tot (eV for the cell shown) = -54.398

abc: 9.1241 9.1241 8.1128
angles: 104.56 104.56 24.62
Last column: magnetic moment on the atom in μB.
Sites, in units of the cell vectors:
Cl (0.1629, 0.1629, 0.3490)  0.00
Cl (0.8371, 0.8371, 0.6510)  0.00
Pr (0.6473, 0.6473, 0.0876)  0.05
Nd (0.0011, 0.0011, 0.7851)  0.00
C (0.5000, 0.5000, 0.0000)  0.00
Cl (0.8310, 0.8310, 0.1611)  0.00
Cl (0.1690, 0.1690, 0.8389)  0.00
Nd (0.9989, 0.9989, 0.2149)  0.00
Cl (0.5000, 0.5000, 0.5000)  0.00
Pr (0.3527, 0.3527, 0.9124)  0.05

=====

Entry 12:
Computed, not measured: PrNd3C2Cl2 after structural relaxation at the PBE level of DFT.

Calculated values
- magnetic moment (μB per formula unit) = 0.01
- symmetry = P3m1, No. 156
- E_tot (eV for the cell shown) = -49.326

abc: 3.7821 3.7821 14.4104
angles: 90.00 90.00 120.00
Sites, in units of the cell vectors:
C (0.3333, 0.6667, 0.5003)
Nd (0.6667, 0.3333, 0.5957)
Cl (0.0000, 0.0000, 0.7495)
Nd (0.6667, 0.3333, 0.9035)
Cl (0.6667, 0.3333, 0.2524)
Pr (0.0000, 0.0000, 0.0960)
C (0.3333, 0.6667, 0.9978)
Nd (0.0000, 0.0000, 0.4048)

=====

Entry 13:
Computed, not measured: Pr2Nd2C2Cl5 after structural relaxation at the PBE level of DFT.

Calculated values
- magnetic moment (μB per formula unit) = 0.01
- symmetry = C2/m, No. 12
- E_tot (eV for the cell shown) = -64.247

abc: 9.6907 9.6907 7.9639
angles: 104.77 104.77 23.21
Sites, in units of the cell vectors:
Cl (0.1605, 0.1605, 0.3648)
Pr (0.9996, 0.9996, 0.2114)
C (0.5383, 0.5383, 0.0252)
Cl (0.5000, 0.5000, 0.5000)
Cl (0.8395, 0.8395, 0.6352)
Nd (0.6610, 0.6610, 0.1099)
Nd (0.3390, 0.3390, 0.8901)
Cl (0.1694, 0.1694, 0.8486)
Pr (0.0004, 0.0004, 0.7886)
C (0.4617, 0.4617, 0.9748)
Cl (0.8306, 0.8306, 0.1514)

=====

Entry 14:
Computed, not measured: Pr2Nd2C2Cl5 after structural relaxation at the PBE level of DFT.

Calculated values
- magnetic moment (μB per formula unit) = 0.00
- symmetry = Immm, No. 71
- E_tot (eV for the cell shown) = -64.235

abc: 9.8225 9.8225 9.8225
angles: 157.03 132.79 53.13
Sites, in units of the cell vectors:
Cl (0.9362, 0.1676, 0.7686)
Nd (0.6685, 0.6685, 0.0000)
Cl (0.6009, 0.8324, 0.7686)
Pr (0.2867, 0.0000, 0.2867)
Cl (0.0000, 0.5000, 0.5000)
Cl (0.3991, 0.1676, 0.2314)
Cl (0.0638, 0.8324, 0.2314)
Nd (0.3315, 0.3315, 0.0000)
C (0.5402, 0.5402, 0.0000)
C (0.4598, 0.4598, 0.0000)
Pr (0.7133, 0.0000, 0.7133)

=====

Entry 15:
Computed, not measured: Pr2Nd2CCl5 after structural relaxation at the PBE level of DFT.

Calculated values
- magnetic moment (μB per formula unit) = 0.01
- symmetry = C2/m, No. 12
- E_tot (eV for the cell shown) = -54.404

abc: 9.1059 9.1059 8.1646
angles: 104.17 104.17 24.86
Sites, in units of the cell vectors:
Nd (0.6457, 0.6457, 0.0859)
Cl (0.1648, 0.1648, 0.3415)
C (0.5000, 0.5000, 0.0000)
Pr (0.0015, 0.0015, 0.7851)
Cl (0.5000, 0.5000, 0.5000)
Cl (0.1715, 0.1715, 0.8474)
Cl (0.8352, 0.8352, 0.6585)
Cl (0.8285, 0.8285, 0.1526)
Pr (0.9986, 0.9986, 0.2149)
Nd (0.3543, 0.3543, 0.9141)

=====

Entry 16:
Computed, not measured: Nd2Sc2CCl5 after structural relaxation at the PBE level of DFT.

Calculated values
- ΔE to the lowest computed polymorph (eV per formula unit) = 0.36
- magnetic moment (μB per formula unit) = 0.06
- symmetry = C2/m, No. 12
- E_tot (eV for the cell shown) = -57.064

abc: 8.7435 8.7435 7.5906
angles: 105.26 105.26 23.99
Sites, in units of the cell vectors:
Cl (0.8397, 0.8397, 0.1850)
Sc (0.0000, 0.0000, 0.7983)
Cl (0.1542, 0.1542, 0.3727)
Cl (0.5000, 0.5000, 0.5000)
Nd (0.6502, 0.6502, 0.0942)
C (0.5000, 0.5000, 0.0000)
Sc (0.0000, 0.0000, 0.2017)
Cl (0.8458, 0.8458, 0.6273)
Cl (0.1603, 0.1603, 0.8150)
Nd (0.3498, 0.3498, 0.9058)

=====

Entry 17:
Computed, not measured: Nd2Sc2CCl5 after structural relaxation at the PBE level of DFT.

Calculated values
- ΔE to the lowest computed polymorph (eV per formula unit) = 0.00
- magnetic moment (μB per formula unit) = 0.01
- symmetry = C2/m, No. 12
- E_tot (eV for the cell shown) = -57.426

abc: 8.6438 8.6438 8.2115
angles: 102.78 102.78 24.74
Sites, in units of the cell vectors:
Sc (0.6372, 0.6372, 0.0678)
Cl (0.1712, 0.1712, 0.2949)
Cl (0.8258, 0.8258, 0.1311)
Nd (0.9995, 0.9995, 0.2139)
Nd (0.0005, 0.0005, 0.7861)
C (0.5000, 0.5000, 0.0000)
Cl (0.8288, 0.8288, 0.7051)
Cl (0.5000, 0.5000, 0.5000)
Sc (0.3628, 0.3628, 0.9322)
Cl (0.1742, 0.1742, 0.8689)

=====

Entry 18:
Computed, not measured: NdSmC2Cl2 after structural relaxation at the PBE level of DFT.

Calculated values
- magnetic moment (μB per formula unit) = 0.00
- symmetry = Cm, No. 8
- E_tot (eV for the cell shown) = -38.914

abc: 4.0827 4.0827 10.7270
angles: 98.05 98.05 56.80
Sites, in units of the cell vectors:
Cl (0.2099, 0.2099, 0.6951)
C (0.0849, 0.0849, 0.0320)
Nd (0.4071, 0.4071, 0.1445)
Sm (0.5939, 0.5939, 0.8562)
Cl (0.7900, 0.7900, 0.3095)
C (0.9142, 0.9142, 0.9627)

=====

Entry 19:
Computed, not measured: Nd2Tm2CCl5 after structural relaxation at the PBE level of DFT.

Calculated values
- magnetic moment (μB per formula unit) = 0.01
- symmetry = C2/m, No. 12
- E_tot (eV for the cell shown) = -53.739

abc: 8.7722 8.7722 8.1615
angles: 102.07 102.07 24.98
Sites, in units of the cell vectors:
Nd (0.9977, 0.9977, 0.2135)
Cl (0.8315, 0.8315, 0.6917)
Cl (0.8234, 0.8234, 0.1397)
C (0.5000, 0.5000, 0.0000)
Tm (0.3592, 0.3592, 0.9277)
Cl (0.1685, 0.1685, 0.3083)
Nd (0.0023, 0.0023, 0.7865)
Cl (0.5000, 0.5000, 0.5000)
Tm (0.6408, 0.6408, 0.0723)
Cl (0.1766, 0.1766, 0.8603)

=====

Entry 20:
Computed, not measured: NiC8Cl2 after structural relaxation at the PBE level of DFT.

Calculated values
- magnetic moment (μB per formula unit) = 0.17
- symmetry = R-3m, No. 166
- E_tot (eV for the cell shown) = -74.569

abc: 10.9486 10.9486 10.9486
angles: 19.95 19.95 19.95
Sites, in units of the cell vectors:
Cl (0.8736, 0.8736, 0.8736)
C (0.6347, 0.2563, 0.2563)
C (0.9315, 0.9315, 0.9315)
C (0.0685, 0.0685, 0.0685)
C (0.3653, 0.7437, 0.7437)
Ni (0.0000, 0.0000, 0.0000)
C (0.7437, 0.3653, 0.7437)
Cl (0.1264, 0.1264, 0.1264)
C (0.2563, 0.2563, 0.6347)
C (0.2563, 0.6347, 0.2563)
C (0.7437, 0.7437, 0.3653)